# LaTb2Sn3Pb4

A relaxed structure of LaTb2Sn3Pb4 (PBE, OQMD via LeMat-Bulk).

Cell and atoms, written as CIF:
```
data_LaTb2Sn3Pb4
_symmetry_space_group_name_H-M 'C m m m'
_symmetry_Int_Tables_number 65
_symmetry_space_group_name_Hall '-C 2 2'
_cell_length_a 4.665
_cell_length_b 25.723
_cell_length_c 4.729
_cell_angle_alpha 90.00
_cell_angle_beta 90.00
_cell_angle_gamma 90.00
loop_
_atom_site_label
_atom_site_type_symbol
_atom_site_fract_x
_atom_site_fract_y
_atom_site_fract_z
La1 La 0.000 0.000 0.000
Tb1 Tb 0.000 0.187 0.000
Sn1 Sn 0.000 0.402 0.000
Sn2 Sn 0.000 0.500 0.500
Pb1 Pb 0.000 0.098 0.500
Pb2 Pb 0.000 0.294 0.500
```

Results
Density   9.61 g/cm³
Total energy   -91.510 eV per cell
Energy above the lowest structure with this stoichiometry   0.007 eV per atom
M_tot   0.0 Bohr magnetons per cell